# 1
8
Lattice="7.125 0.000 0.000 0.000 4.298 0.000 -2.190 0.000 7.505" Properties=species:S:1:pos:R:3 comment="La4NiPdCl2 GGA-PBE optimized geometry" crystal_system=monoclinic formation_energy_uncorrected_ev_per_atom=-1.070 n_ef_per_ev_cell=7.57 pbc="T T T"
La 1.218 0.000 1.582
La 0.003 2.149 5.937
La 4.931 2.149 1.568
La 3.716 0.000 5.923
Ni 0.000 2.149 0.000
Pd 3.562 0.000 0.000
Cl -1.095 0.000 3.752
Cl 2.467 2.149 3.752

=====

# 2
20
Lattice="9.708 0.000 0.000 0.000 9.708 0.000 0.000 0.000 3.523" Properties=species:S:1:pos:R:3 comment="Cd2Si2Pd5Au GGA-PBE optimized geometry" crystal_system=tetragonal formation_energy_uncorrected_ev_per_atom=-0.392 n_ef_per_ev_cell=7.44 pbc="T T T"
Cd 1.678 3.176 0.000
Cd 3.176 8.030 0.000
Cd 6.532 1.678 0.000
Cd 8.030 6.532 0.000
Si 1.241 6.095 0.000
Si 3.612 1.241 0.000
Si 6.095 8.466 0.000
Si 8.466 3.612 0.000
Pd 0.000 4.854 1.762
Pd 0.724 7.660 1.762
Pd 2.047 0.724 1.762
Pd 2.807 5.578 1.762
Pd 4.130 2.807 1.762
Pd 4.854 0.000 1.762
Pd 5.578 6.901 1.762
Pd 6.901 4.130 1.762
Pd 7.660 8.984 1.762
Pd 8.984 2.047 1.762
Au 0.000 0.000 0.000
Au 4.854 4.854 0.000

=====

# 3
5
Lattice="4.563 0.000 0.000 0.000 4.563 0.000 0.000 0.000 4.563" Properties=species:S:1:pos:R:3 comment="V3ReAu GGA-PBE optimized geometry" crystal_system=cubic polymorph_energy_mev_per_atom=0 delta_e_f_ev_per_atom=1.11 n_ef_per_ev_cell=6.55 pbc="T T T"
V 0.000 0.000 2.281
V 0.000 2.281 0.000
V 2.281 0.000 0.000
Re 0.000 0.000 0.000
Au 2.281 2.281 2.281

=====

# 4
3
Lattice="0.000 3.285 3.285 3.285 0.000 3.285 3.285 3.285 0.000" Properties=species:S:1:pos:R:3 comment="AsSeCl GGA-PBE optimized geometry" crystal_system=cubic formation_energy_uncorrected_ev_per_atom=0.060 n_ef_per_ev_cell=1.06 pbc="T T T"
As 0.000 0.000 0.000
Se 1.642 1.642 1.642
Cl 4.927 4.927 4.927